No. 1
The following is a DFT calculation (PBE) of an optimized crystal structure of La3Pr4Tm.

abc: 12.5197 12.5197 6.4161
angles: 104.83 104.83 17.09
Sites, in units of the cell vectors:
La 0.0000 0.0000 0.0000
La 0.2507 0.2507 0.2508
La 0.7493 0.7493 0.7492
Pr 0.1230 0.1230 0.7892
Pr 0.3755 0.3755 0.7097
Pr 0.6245 0.6245 0.2903
Pr 0.8770 0.8770 0.2108
Tm 0.5000 0.5000 0.5000

Computed properties:
The formation energy is 0.040 eV per formula unit. The calculation puts the density of states at the Fermi level at 11.5 states/eV per cell. Its energy above the most stable polymorph in this dataset is 0 meV/atom. For the mass density, the calculation gives 6.68 g/cm3. As for the crystal system: monoclinic.

=====

No. 2
The following is a DFT calculation (PBE) of an optimized crystal structure of La2Pr6Tm.

abc: 11.0808 11.1087 5.2383
angles: 90.00 90.00 90.00
Sites, in units of the cell vectors:
La 0.1638 0.1639 0.0000
La 0.3362 0.6639 0.5000
La 0.6638 0.3361 0.5000
La 0.8362 0.8361 0.0000
Pr 0.0002 0.3316 0.5000
Pr 0.9998 0.6684 0.5000
Pr 0.1670 0.8331 0.0000
Pr 0.1682 0.4999 0.0000
Pr 0.3318 0.9999 0.5000
Pr 0.3330 0.3331 0.5000
Pr 0.5002 0.1684 0.0000
Pr 0.4998 0.8316 0.0000
Pr 0.6670 0.6669 0.5000
Pr 0.6682 0.0001 0.5000
Pr 0.8318 0.5001 0.0000
Pr 0.8330 0.1669 0.0000
Tm 0.0000 0.0000 0.5000
Tm 0.5000 0.5000 0.0000

Computed properties:
The formation energy is 0.169 eV per formula unit. The calculation puts the density of states at the Fermi level at 30.6 states/eV per cell. Its energy above the most stable polymorph in this dataset is 0 meV/atom. For the mass density, the calculation gives 6.66 g/cm3. As for the crystal system: orthorhombic.

=====

No. 3
The following is a DFT calculation (PBE) of an optimized crystal structure of LaPrTm2.

abc: 5.1870 5.1870 4.9386
angles: 90.00 90.00 90.00
Sites, in units of the cell vectors:
La 0.0000 0.0000 0.0000
Pr 0.5000 0.5000 0.0000
Tm 0.0000 0.5000 0.5000
Tm 0.5000 0.0000 0.5000

Computed properties:
The formation energy is 0.095 eV per formula unit. The calculation puts the density of states at the Fermi level at 6.0 states/eV per cell. Its energy above the most stable polymorph in this dataset is 6 meV/atom. For the mass density, the calculation gives 7.72 g/cm3. As for the crystal system: tetragonal.